Entry 1:
The following is a DFT calculation (PBE-GGA) of a relaxed LiLu4ZnIr2 crystal.

Cell: 4.8104 4.8104 6.8008 Å, 90.00 90.00 90.00°
Atoms (fractional coordinates):
1 Li 0.0000 0.0000 0.0000
2 Lu 0.0000 0.5000 0.2500
3 Lu 0.0000 0.5000 0.7500
4 Lu 0.5000 0.0000 0.2500
5 Lu 0.5000 0.0000 0.7500
6 Zn 0.5000 0.5000 0.5000
7 Ir 0.0000 0.0000 0.5000
8 Ir 0.5000 0.5000 0.0000

Properties
SG: No. 123
Calculated volume (Å³/atom): 19.7
Total moment (μB/cell): 0.0
Energy (eV per atom): -5.54

Entry 2:
The following is a DFT calculation (PBE-GGA) of a relaxed NpCdPt crystal.

Cell: 4.7191 4.7191 4.7191 Å, 60.00 60.00 60.00°
Atoms (fractional coordinates):
1 Np 0.0000 0.0000 0.0000
2 Cd 0.5000 0.5000 0.5000
3 Pt 0.7500 0.7500 0.7500

Properties
DFT formation energy (eV per atom): -0.221
SG: No. 216
Calculated volume (Å³/atom): 24.8
Total moment (μB/cell): 4.3
Energy (eV per atom): -6.80

Entry 3:
The following is a DFT calculation (PBE-GGA) of a relaxed TaNbAsO crystal.

Cell: 3.7373 3.7373 8.3281 Å, 90.00 90.00 90.00°
Atoms (fractional coordinates):
1 Ta 0.2500 0.2500 0.1517
2 Ta 0.7500 0.7500 0.8483
3 Nb 0.2500 0.7500 0.5000
4 Nb 0.7500 0.2500 0.5000
5 As 0.2500 0.2500 0.7357
6 As 0.7500 0.7500 0.2643
7 O 0.2500 0.7500 0.0000
8 O 0.7500 0.2500 0.0000

Properties
SG: No. 129
Calculated volume (Å³/atom): 14.5
Total moment (μB/cell): 0.0
Energy (eV per atom): -8.69

Entry 4:
The following is a DFT calculation (PBE-GGA) of a relaxed TbLu2In3CuNi2 crystal.

Cell: 3.8004 7.4111 7.4111 Å, 120.03 90.00 90.00°
Atoms (fractional coordinates):
1 Tb 0.0000 0.0000 0.0000
2 Lu 0.0000 0.4123 0.8247
3 Lu 0.0000 0.8247 0.4123
4 In 0.5000 0.1539 0.4154
5 In 0.5000 0.4154 0.1539
6 In 0.5000 0.6697 0.6697
7 Cu 0.0000 0.4146 0.4146
8 Ni 0.5000 0.0812 0.7437
9 Ni 0.5000 0.7437 0.0812

Properties
SG: No. 38
Calculated volume (Å³/atom): 20.1
Total moment (μB/cell): 0.0
Energy (eV per atom): -4.56

Entry 5:
The following is a DFT calculation (PBE-GGA) of a relaxed YScGa2Ir4 crystal.

Cell: 4.2979 4.2979 8.8714 Å, 90.00 90.00 120.00°
Atoms (fractional coordinates):
1 Y 0.0000 0.0000 0.0000
2 Sc 0.6667 0.3333 0.5000
3 Ga 0.3333 0.6667 0.2611
4 Ga 0.3333 0.6667 0.7389
5 Ir 0.0000 0.0000 0.3506
6 Ir 0.0000 0.0000 0.6494
7 Ir 0.6667 0.3333 0.1818
8 Ir 0.6667 0.3333 0.8182

Properties
SG: No. 187
Calculated volume (Å³/atom): 17.7
Total moment (μB/cell): 0.0
Energy (eV per atom): -7.37

Entry 6:
The following is a DFT calculation (PBE-GGA) of a relaxed CdGe2Os crystal.

Cell: 4.6336 4.6336 4.6336 Å, 60.00 60.00 60.00°
Atoms (fractional coordinates):
1 Cd 0.0000 0.0000 0.0000
2 Ge 0.2500 0.2500 0.2500
3 Ge 0.5000 0.5000 0.5000
4 Os 0.7500 0.7500 0.7500

Properties
SG: No. 216
Calculated volume (Å³/atom): 17.6
Total moment (μB/cell): 0.0
Energy (eV per atom): -4.66

Which of these has the highest energy?
TbLu2In3CuNi2

total moment of number 2 (NpCdPt)?
4.3 μB/cell